Entry 1:
The following is a PBE calculation of a geometry-optimized Pm2YSb structure, from Alexandria.

Summary:
Uncorrected formation energy in eV per formula unit: -1.558
Symmetry: P2_1/m, No. 11
Total magnetization in μB/atom: 0.00

a = 5.3634 Å, b = 9.8022 Å, c = 5.3718 Å
α = 90.00°, β = 119.86°, γ = 90.00°
Last column: nearest neighbours and their distance in Å.
Fractional coordinates of all 8 atoms:
Pm: 0.1664 0.0839 0.3323  4 Pm 3.26-3.51, 4 Sb 3.27-3.51, 3 Y 3.50
Pm: 0.1664 0.4161 0.3323  4 Pm 3.26-3.51, 4 Sb 3.27-3.51, 3 Y 3.50
Pm: 0.8336 0.5839 0.6677  4 Pm 3.26-3.51, 4 Sb 3.27-3.51, 3 Y 3.50
Pm: 0.8336 0.9161 0.6677  4 Pm 3.26-3.51, 4 Sb 3.27-3.51, 3 Y 3.50
Y: 0.4997 0.2500 0.9981  3 Sb 3.10
Y: 0.5003 0.7500 0.0019  3 Sb 3.10
Sb: 0.1669 0.7500 0.3357  3 Y 3.10, 2 Pm 3.27
Sb: 0.8331 0.2500 0.6643  3 Y 3.10, 2 Pm 3.27

***

Entry 2:
The following is a PBE calculation of a geometry-optimized Sm2Ho3Tm6Pu structure, from Alexandria.

Summary:
Symmetry: C2/m, No. 12
Total magnetization in μB/atom: 0.52
ΔH_f (0 K) in eV per atom: 0.047

a = 6.0876 Å, b = 6.0876 Å, c = 11.5803 Å
α = 95.04°, β = 95.04°, γ = 120.02°
Last column: nearest neighbours and their distance in Å.
Fractional coordinates of all 12 atoms:
Sm: 0.1666 0.8334 0.0000  6 Tm 3.51, 3 Sm 3.51-3.52, 3 Pu 3.51-3.52
Sm: 0.8334 0.1666 0.0000  6 Tm 3.51, 3 Sm 3.51-3.52, 3 Pu 3.51-3.52
Ho: 0.0000 0.0000 0.5000  6 Tm 3.49-3.51, 6 Ho 3.51-3.52
Ho: 0.3329 0.6671 0.5000  6 Tm 3.49-3.51, 6 Ho 3.51-3.52
Ho: 0.6671 0.3329 0.5000  6 Tm 3.49-3.51, 6 Ho 3.51-3.52
Tm: 0.0877 0.4168 0.7499  6 Tm 3.47-3.54, 1 Pu 3.48, 3 Ho 3.49-3.51, 2 Sm 3.51
Tm: 0.2542 0.2542 0.2503  6 Tm 3.47-3.54, 1 Pu 3.49, 3 Ho 3.49-3.51, 2 Sm 3.51
Tm: 0.4168 0.0877 0.7499  6 Tm 3.47-3.54, 1 Pu 3.48, 3 Ho 3.49-3.51, 2 Sm 3.51
Tm: 0.5832 0.9123 0.2501  6 Tm 3.47-3.54, 1 Pu 3.48, 3 Ho 3.49-3.51, 2 Sm 3.51
Tm: 0.7458 0.7458 0.7497  6 Tm 3.47-3.54, 1 Pu 3.49, 3 Ho 3.49-3.51, 2 Sm 3.51
Tm: 0.9123 0.5832 0.2501  6 Tm 3.47-3.54, 1 Pu 3.48, 3 Ho 3.49-3.51, 2 Sm 3.51
Pu: 0.5000 0.5000 0.0000  6 Tm 3.48-3.49, 6 Sm 3.51-3.52

***

Entry 3:
The following is a PBE calculation of a geometry-optimized MnBeCo structure, from Alexandria.

Summary:
Symmetry: I4mm, No. 107
Total magnetization in μB/atom: 0.12
ΔH_f (0 K) in eV per atom: -0.126

a = 2.5245 Å, b = 2.5245 Å, c = 8.8907 Å
α = 90.00°, β = 90.00°, γ = 90.00°
Last column: nearest neighbours and their distance in Å.
Fractional coordinates of all 6 atoms:
Mn: 0.0000 0.0000 0.0000  4 Be 2.33, 4 Co 2.40, 4 Mn 2.52
Mn: 0.5000 0.5000 0.5000  4 Be 2.33, 4 Co 2.40, 4 Mn 2.52
Be: 0.0000 0.0000 0.6685  4 Co 2.24, 4 Mn 2.33
Be: 0.5000 0.5000 0.1685  4 Co 2.24, 4 Mn 2.33
Co: 0.0000 0.0000 0.3204  4 Be 2.24, 4 Mn 2.40
Co: 0.5000 0.5000 0.8204  4 Be 2.24, 4 Mn 2.40

***

Entry 4:
The following is a PBE calculation of a geometry-optimized TbNdSc2 structure, from Alexandria.

Summary:
Symmetry: P4/mmm, No. 123
Total magnetization in μB/atom: 0.00
ΔH_f (0 K) in eV per atom: 0.054

a = 4.9807 Å, b = 4.9807 Å, c = 4.6265 Å
α = 90.00°, β = 90.00°, γ = 90.00°
Last column: nearest neighbours and their distance in Å.
Fractional coordinates of all 4 atoms:
Tb: 0.0000 0.0000 0.0000  8 Sc 3.40, 4 Nd 3.52
Nd: 0.5000 0.5000 0.0000  8 Sc 3.40, 4 Tb 3.52
Sc: 0.0000 0.5000 0.5000  4 Tb 3.40, 4 Nd 3.40, 4 Sc 3.52
Sc: 0.5000 0.0000 0.5000  4 Tb 3.40, 4 Nd 3.40, 4 Sc 3.52

***

Entry 5:
The following is a PBE calculation of a geometry-optimized FeOsPt2 structure, from Alexandria.

Summary:
Symmetry: R-3m, No. 166
Total magnetization in μB/atom: 0.83
ΔH_f (0 K) in eV per atom: 0.022

a = 2.7410 Å, b = 2.7410 Å, c = 26.7797 Å
α = 90.00°, β = 90.00°, γ = 120.00°
Last column: nearest neighbours and their distance in Å.
Fractional coordinates of all 12 atoms:
Fe: 0.0000 0.0000 0.0000  6 Pt 2.68, 6 Fe 2.74
Fe: 0.3333 0.6667 0.6667  6 Pt 2.68, 6 Fe 2.74
Fe: 0.6667 0.3333 0.3333  6 Pt 2.68, 6 Fe 2.74
Os: 0.0000 0.0000 0.5000  6 Os 2.74, 6 Pt 2.79
Os: 0.3333 0.6667 0.1667  6 Os 2.74, 6 Pt 2.79
Os: 0.6667 0.3333 0.8333  6 Os 2.74, 6 Pt 2.79
Pt: 0.0000 0.0000 0.2524  3 Fe 2.68, 6 Pt 2.74, 3 Os 2.79
Pt: 0.0000 0.0000 0.7476  3 Fe 2.68, 6 Pt 2.74, 3 Os 2.79
Pt: 0.3333 0.6667 0.4142  3 Fe 2.68, 6 Pt 2.74, 3 Os 2.79
Pt: 0.3333 0.6667 0.9191  3 Fe 2.68, 6 Pt 2.74, 3 Os 2.79
Pt: 0.6667 0.3333 0.0809  3 Fe 2.68, 6 Pt 2.74, 3 Os 2.79
Pt: 0.6667 0.3333 0.5858  3 Fe 2.68, 6 Pt 2.74, 3 Os 2.79

***

Entry 6:
The following is a PBE calculation of a geometry-optimized YEr3Tm3Se8 structure, from Alexandria.

Summary:
Uncorrected formation energy in eV per formula unit: -26.831
Symmetry: R-3m, No. 166
Total magnetization in μB/atom: 0.00

a = 8.0317 Å, b = 8.0317 Å, c = 8.0317 Å
α = 59.99°, β = 59.99°, γ = 59.99°
Last column: nearest neighbours and their distance in Å.
Fractional coordinates of all 15 atoms:
Y: 0.0000 0.0000 0.0000  6 Se 2.91
Er: 0.0000 0.0000 0.5000  6 Se 2.85
Er: 0.0000 0.5000 0.0000  6 Se 2.85
Er: 0.5000 0.0000 0.0000  6 Se 2.85
Tm: 0.0000 0.5000 0.5000  6 Se 2.83
Tm: 0.5000 0.0000 0.5000  6 Se 2.83
Tm: 0.5000 0.5000 0.0000  6 Se 2.83
Se: 0.2506 0.2506 0.2506  3 Tm 2.83, 3 Er 2.85
Se: 0.2561 0.2561 0.7427  2 Tm 2.83, 2 Er 2.85, 1 Y 2.91
Se: 0.2561 0.7427 0.2561  2 Tm 2.83, 2 Er 2.85, 1 Y 2.91
Se: 0.2573 0.7439 0.7439  2 Tm 2.83, 2 Er 2.85, 1 Y 2.91
Se: 0.7427 0.2561 0.2561  2 Tm 2.83, 2 Er 2.85, 1 Y 2.91
Se: 0.7439 0.2573 0.7439  2 Tm 2.83, 2 Er 2.85, 1 Y 2.91
Se: 0.7439 0.7439 0.2573  2 Tm 2.83, 2 Er 2.85, 1 Y 2.91
Se: 0.7494 0.7494 0.7494  3 Tm 2.83, 3 Er 2.85

***

Entry 7:
The following is a PBE calculation of a geometry-optimized VGa2Pt structure, from Alexandria.

Summary:
Symmetry: P4/mmm, No. 123
Total magnetization in μB/atom: 0.00
ΔH_f (0 K) in eV per atom: -0.317

a = 2.7980 Å, b = 2.7980 Å, c = 7.5260 Å
α = 90.00°, β = 90.00°, γ = 90.00°
Last column: nearest neighbours and their distance in Å.
Fractional coordinates of all 4 atoms:
V: 0.0000 0.0000 0.0000  8 Ga 2.73, 4 V 2.80
Ga: 0.5000 0.5000 0.2490  4 V 2.73, 4 Pt 2.74, 4 Ga 2.80
Ga: 0.5000 0.5000 0.7510  4 V 2.73, 4 Pt 2.74, 4 Ga 2.80
Pt: 0.0000 0.0000 0.5000  8 Ga 2.74, 4 Pt 2.80

***

Entry 8:
The following is a PBE calculation of a geometry-optimized LiSmCu structure, from Alexandria.

Summary:
Symmetry: I4mm, No. 107
Total magnetization in μB/atom: 0.00
ΔH_f (0 K) in eV per atom: -0.010

a = 3.5913 Å, b = 3.5913 Å, c = 9.5019 Å
α = 90.00°, β = 90.00°, γ = 90.00°
Last column: nearest neighbours and their distance in Å.
Fractional coordinates of all 6 atoms:
Li: 0.0000 0.0000 0.0000  4 Cu 2.82, 1 Sm 2.83
Li: 0.5000 0.5000 0.5000  4 Cu 2.82, 1 Sm 2.83
Sm: 0.0000 0.0000 0.2978  1 Li 2.83, 5 Cu 3.00-3.15
Sm: 0.5000 0.5000 0.7978  1 Li 2.83, 5 Cu 3.00-3.15
Cu: 0.0000 0.0000 0.6297  4 Li 2.82, 5 Sm 3.00-3.15
Cu: 0.5000 0.5000 0.1297  4 Li 2.82, 5 Sm 3.00-3.15

***

Entry 9:
The following is a PBE calculation of a geometry-optimized ReOsRh6 structure, from Alexandria.

Summary:
Symmetry: R-3m, No. 166
Total magnetization in μB/atom: 0.00
ΔH_f (0 K) in eV per atom: 0.786

a = 5.1483 Å, b = 5.1483 Å, c = 5.1483 Å
α = 90.84°, β = 90.84°, γ = 90.84°
Last column: nearest neighbours and their distance in Å.
Fractional coordinates of all 8 atoms:
Re: 0.0000 0.0000 0.0000  6 Rh 2.40
Os: 0.5000 0.5000 0.5000  6 Rh 2.59
Rh: 0.0642 0.6726 0.6726  1 Re 2.40, 3 Rh 2.57-2.63, 1 Os 2.59
Rh: 0.3274 0.3274 0.9358  1 Re 2.40, 3 Rh 2.57-2.63, 1 Os 2.59
Rh: 0.3274 0.9358 0.3274  1 Re 2.40, 3 Rh 2.57-2.63, 1 Os 2.59
Rh: 0.6726 0.0642 0.6726  1 Re 2.40, 3 Rh 2.57-2.63, 1 Os 2.59
Rh: 0.6726 0.6726 0.0642  1 Re 2.40, 3 Rh 2.57-2.63, 1 Os 2.59
Rh: 0.9358 0.3274 0.3274  1 Re 2.40, 3 Rh 2.57-2.63, 1 Os 2.59

***

Entry 10:
The following is a PBE calculation of a geometry-optimized Ba4LiTc structure, from Alexandria.

Summary:
Symmetry: F-43m, No. 216
Total magnetization in μB/atom: 0.31
ΔH_f (0 K) in eV per atom: 1.064

a = 7.3112 Å, b = 7.3112 Å, c = 7.3112 Å
α = 60.00°, β = 60.00°, γ = 60.00°
Last column: nearest neighbours and their distance in Å.
Fractional coordinates of all 6 atoms:
Ba: 0.3762 0.3762 0.3762  6 Ba 3.62-3.69
Ba: 0.3762 0.3762 0.8715  6 Ba 3.62-3.69
Ba: 0.3762 0.8715 0.3762  6 Ba 3.62-3.69
Ba: 0.8715 0.3762 0.3762  6 Ba 3.62-3.69
Li: 0.0000 0.0000 0.0000  12 Ba 4.29, 4 Tc 4.48
Tc: 0.7500 0.7500 0.7500  12 Ba 4.28, 4 Li 4.48

***

Entry 11:
The following is a PBE calculation of a geometry-optimized Tb3Sn2 structure, from Alexandria.

Summary:
Symmetry: Pnma, No. 62
Total magnetization in μB/atom: 0.15
ΔH_f (0 K) in eV per atom: -0.602

a = 12.0604 Å, b = 4.4063 Å, c = 11.5374 Å
α = 90.00°, β = 90.00°, γ = 90.00°
Last column: nearest neighbours and their distance in Å.
Fractional coordinates of all 20 atoms:
Tb: 0.0513 0.2500 0.1309  5 Sn 3.11-3.24
Tb: 0.1272 0.7500 0.5589  5 Sn 3.11-3.22
Tb: 0.2256 0.2500 0.7935  4 Sn 3.11-3.24
Tb: 0.2744 0.7500 0.2935  4 Sn 3.11-3.24
Tb: 0.3728 0.2500 0.0589  5 Sn 3.11-3.22
Tb: 0.4487 0.7500 0.6309  5 Sn 3.11-3.24
Tb: 0.5513 0.2500 0.3691  5 Sn 3.11-3.24
Tb: 0.6272 0.7500 0.9411  5 Sn 3.11-3.22
Tb: 0.7256 0.2500 0.7065  4 Sn 3.11-3.24
Tb: 0.7744 0.7500 0.2065  4 Sn 3.11-3.24
Tb: 0.8728 0.2500 0.4411  5 Sn 3.11-3.22
Tb: 0.9487 0.7500 0.8691  5 Sn 3.11-3.24
Sn: 0.0098 0.7500 0.3166  7 Tb 3.11-3.20
Sn: 0.1883 0.7500 0.9955  7 Tb 3.17-3.24
Sn: 0.3117 0.2500 0.4955  7 Tb 3.17-3.24
Sn: 0.4902 0.2500 0.8166  7 Tb 3.11-3.20
Sn: 0.5098 0.7500 0.1834  7 Tb 3.11-3.20
Sn: 0.6883 0.7500 0.5045  7 Tb 3.17-3.24
Sn: 0.8117 0.2500 0.0045  7 Tb 3.17-3.24
Sn: 0.9902 0.2500 0.6834  7 Tb 3.11-3.20

***

Entry 12:
The following is a PBE calculation of a geometry-optimized Nd3Sm2DyAs6 structure, from Alexandria.

Summary:
Symmetry: C2/m, No. 12
Total magnetization in μB/atom: 0.00
ΔH_f (0 K) in eV per atom: -1.518

a = 9.4529 Å, b = 9.4529 Å, c = 8.4544 Å
α = 102.91°, β = 102.91°, γ = 25.86°
Last column: nearest neighbours and their distance in Å.
Fractional coordinates of all 12 atoms:
Nd: 0.0000 0.0000 0.0000  6 As 3.00-3.03
Nd: 0.3331 0.3331 0.6664  6 As 3.00-3.03
Nd: 0.6669 0.6669 0.3336  6 As 3.00-3.03
Sm: 0.3339 0.3339 0.1675  6 As 2.97-2.98
Sm: 0.6661 0.6661 0.8325  6 As 2.97-2.98
Dy: 0.0000 0.0000 0.5000  6 As 2.95
As: 0.1643 0.1643 0.5842  1 Dy 2.95, 2 Sm 2.98, 3 Nd 3.00-3.03
As: 0.1675 0.1675 0.0813  3 Sm 2.98, 3 Nd 3.00-3.01
As: 0.4995 0.4995 0.2561  2 Dy 2.95, 1 Sm 2.97, 3 Nd 3.00-3.03
As: 0.5005 0.5005 0.7439  2 Dy 2.95, 1 Sm 2.97, 3 Nd 3.00-3.03
As: 0.8325 0.8325 0.9187  3 Sm 2.98, 3 Nd 3.00-3.01
As: 0.8357 0.8357 0.4158  1 Dy 2.95, 2 Sm 2.98, 3 Nd 3.00-3.03

***

> Which value of total magnetization does entry 12 give?

0.00 μB/atom